Record 1
Computed, not measured: a geometry-optimized KBS2O8 structure at the GGA-PBE level of DFT.

Cell: 9.252 9.252 7.565 Å, 90.00 90.00 90.00°
Space group P4/ncc (No. 130, origin choice 2)
Asymmetric unit:
K 0.250 0.250 0.060 [4 per cell]
B 0.250 0.750 0.000 [4 per cell]
S 0.097 0.597 0.250 [8 per cell]
O 0.045 0.125 0.321 [16 per cell]
O 0.121 0.717 0.392 [16 per cell]

Summary:
Raw formation energy = -1.675 eV/atom
Calculated total energy = -6.317 eV per atom

***

Record 2
Computed, not measured: a geometry-optimized K2B2SbO6 structure at the GGA-PBE level of DFT.

Cell: 5.3083 5.3083 18.4303 Å, 90.00 90.00 120.00°
Space group R-3m (No. 166, hexagonal axes)
Asymmetric unit:
K 0.0000 0.0000 0.2068 [6 per cell]
B 0.0000 0.0000 0.4024 [6 per cell]
Sb 0.0000 0.0000 0.0000 [3 per cell]
O 0.0310 0.5155 0.2607 [18 per cell]

Summary:
Raw formation energy = -1.958 eV/atom
Calculated total energy = -6.451 eV per atom

***

Record 3
Computed, not measured: a geometry-optimized K3BSb4O13 structure at the GGA-PBE level of DFT.

Cell: 7.226 7.345 13.503 Å, 82.45 79.88 63.09°
Space group P-1 (No. 2)
Asymmetric unit:
K 0.126 0.075 0.062 [2 per cell]
K 0.282 0.292 0.808 [2 per cell]
K 0.312 0.280 0.532 [2 per cell]
B 0.159 0.767 0.524 [2 per cell]
Sb 0.165 0.711 0.291 [2 per cell]
Sb 0.172 0.208 0.294 [2 per cell]
Sb 0.314 0.808 0.714 [2 per cell]
Sb 0.424 0.433 0.106 [2 per cell]
O 0.051 0.158 0.436 [2 per cell]
O 0.064 0.497 0.333 [2 per cell]
O 0.097 0.711 0.761 [2 per cell]
O 0.137 0.103 0.693 [2 per cell]
O 0.164 0.692 0.141 [2 per cell]
O 0.232 0.683 0.431 [2 per cell]
O 0.266 0.271 0.150 [2 per cell]
O 0.274 0.919 0.254 [2 per cell]
O 0.318 0.826 0.863 [2 per cell]
O 0.321 0.745 0.574 [2 per cell]
O 0.412 0.408 0.962 [2 per cell]
O 0.449 0.119 0.342 [2 per cell]
O 0.467 0.488 0.249 [2 per cell]

Summary:
Raw formation energy = -1.692 eV/atom
Calculated total energy = -6.021 eV per atom

***

Record 4
Computed, not measured: a geometry-optimized K3ScB2O6 structure at the GGA-PBE level of DFT.

Cell: 5.4236 5.4236 6.7839 Å, 90.00 90.00 120.00°
Space group P-3m1 (No. 164)
Asymmetric unit:
K 0.0000 0.0000 0.0000 [1 per cell]
K 0.3333 0.6667 0.7401 [2 per cell]
Sc 0.0000 0.0000 0.5000 [1 per cell]
B 0.3333 0.6667 0.3122 [2 per cell]
O 0.1847 0.3695 0.3120 [6 per cell]

Summary:
Raw formation energy = -2.456 eV/atom
Calculated total energy = -6.850 eV per atom

***

Record 5
Computed, not measured: a geometry-optimized K2ScBO4 structure at the GGA-PBE level of DFT.

Cell: 4.769 11.296 21.333 Å, 90.00 90.00 90.00°
Space group Fddd (No. 70, origin choice 2)
Asymmetric unit:
K 0.125 0.125 0.303 [16 per cell]
Sc 0.125 0.125 0.125 [8 per cell]
B 0.125 0.125 0.625 [8 per cell]
O 0.059 0.295 0.834 [32 per cell]

Summary:
Raw formation energy = -2.215 eV/atom
Calculated total energy = -6.594 eV per atom

***

Record 6
Computed, not measured: a geometry-optimized KB3SeO7 structure at the GGA-PBE level of DFT.

Cell: 4.752 18.667 8.809 Å, 90.00 101.71 90.00°
Space group P2_1/c (No. 14)
Asymmetric unit:
K 0.133 0.102 0.381 [4 per cell]
B 0.016 0.692 0.553 [4 per cell]
B 0.019 0.736 0.810 [4 per cell]
B 0.157 0.610 0.778 [4 per cell]
Se 0.376 0.036 0.798 [4 per cell]
O 0.016 0.203 0.105 [4 per cell]
O 0.018 0.047 0.688 [4 per cell]
O 0.033 0.248 0.850 [4 per cell]
O 0.090 0.626 0.610 [4 per cell]
O 0.105 0.672 0.873 [4 per cell]
O 0.432 0.548 0.250 [4 per cell]
O 0.463 0.590 0.831 [4 per cell]

Summary:
Raw formation energy = -2.025 eV/atom
Calculated total energy = -6.969 eV per atom

***

Record 7
Computed, not measured: a geometry-optimized K2SiB2O6 structure at the GGA-PBE level of DFT.

Cell: 8.556 4.936 6.523 Å, 90.00 115.67 90.00°
Space group C2/m (No. 12)
Asymmetric unit:
K 0.207 0.000 0.123 [4 per cell]
Si 0.000 0.000 0.500 [2 per cell]
B 0.110 0.500 0.332 [4 per cell]
O 0.023 0.257 0.317 [8 per cell]
O 0.232 0.000 0.679 [4 per cell]

Summary:
Raw formation energy = -2.293 eV/atom
Calculated total energy = -6.904 eV per atom

***

Record 8
Computed, not measured: a geometry-optimized K3SmB2O6 structure at the GGA-PBE level of DFT.

Cell: 5.6351 5.6351 6.9706 Å, 90.00 90.00 120.00°
Space group P-3m1 (No. 164)
Asymmetric unit:
K 0.0000 0.0000 0.0000 [1 per cell]
K 0.3333 0.6667 0.7441 [2 per cell]
Sm 0.0000 0.0000 0.5000 [1 per cell]
B 0.3333 0.6667 0.2938 [2 per cell]
O 0.1904 0.3807 0.2948 [6 per cell]

Summary:
Raw formation energy = -2.465 eV/atom
Calculated total energy = -6.724 eV per atom

***

Record 9
Computed, not measured: a geometry-optimized K2SmB2O6 structure at the GGA-PBE level of DFT.

Cell: 5.6669 5.6669 6.5206 Å, 90.00 90.00 120.00°
Space group P-3m1 (No. 164)
Asymmetric unit:
K 0.3333 0.6667 0.3263 [2 per cell]
Sm 0.0000 0.0000 0.0000 [1 per cell]
B 0.3333 0.6667 0.7972 [2 per cell]
O 0.1932 0.3863 0.7924 [6 per cell]

Summary:
Raw formation energy = -2.409 eV/atom
Calculated total energy = -6.956 eV per atom

***

Record 10
Computed, not measured: a geometry-optimized K3SmB2O6 structure at the GGA-PBE level of DFT.

Cell: 9.096 7.196 11.305 Å, 90.00 90.00 90.00°
Space group Pnma (No. 62)
Asymmetric unit:
K 0.059 0.250 0.131 [4 per cell]
K 0.198 0.002 0.405 [8 per cell]
Sm 0.126 0.250 0.669 [4 per cell]
B 0.063 0.750 0.127 [4 per cell]
B 0.087 0.750 0.615 [4 per cell]
O 0.008 0.750 0.509 [4 per cell]
O 0.088 0.250 0.884 [4 per cell]
O 0.122 0.750 0.243 [4 per cell]
O 0.126 0.581 0.669 [8 per cell]
O 0.161 0.750 0.034 [4 per cell]

Summary:
Raw formation energy = -2.473 eV/atom
Calculated total energy = -6.732 eV per atom

***

Record 11
Computed, not measured: a geometry-optimized K2SmBO4 structure at the GGA-PBE level of DFT.

Cell: 5.206 11.312 23.889 Å, 90.00 90.00 90.00°
Space group Fddd (No. 70, origin choice 2)
Asymmetric unit:
K 0.125 0.125 0.313 [16 per cell]
Sm 0.125 0.125 0.125 [8 per cell]
B 0.125 0.125 0.625 [8 per cell]
O 0.038 0.292 0.838 [32 per cell]

Summary:
Raw formation energy = -1.969 eV/atom
Calculated total energy = -6.147 eV per atom

***

Record 12
Computed, not measured: a geometry-optimized KSnB2O6 structure at the GGA-PBE level of DFT.

Cell: 5.0324 5.0324 18.7816 Å, 90.00 90.00 120.00°
Space group R-3 (No. 148, hexagonal axes)
Asymmetric unit:
K 0.0000 0.0000 0.0000 [3 per cell]
Sn 0.0000 0.0000 0.5000 [3 per cell]
B 0.0000 0.0000 0.2287 [6 per cell]
O 0.0375 0.6138 0.8984 [18 per cell]

Summary:
Raw formation energy = -1.935 eV/atom
Calculated total energy = -6.756 eV per atom